## AlIr2O (PBE)

Data for a geometry-optimized AlIr2O structure.

a = 4.1622 Å, b = 4.1622 Å, c = 4.1622 Å
α = 60.00°, β = 60.00°, γ = 60.00°
Element x y z (fractional)
Al  0.5000  0.5000  0.5000
Ir  0.2500  0.2500  0.2500
Ir  0.7500  0.7500  0.7500
O  0.0000  0.0000  0.0000

Results
total DFT energy (no corrections) = -6.3979 eV per atom
formation energy without anion corrections = 0.208 eV per atom
crystal system = cubic
relative energy among the computed polymorphs = 90 meV/atom

## AlIr2O6 (PBE)

Data for a geometry-optimized AlIr2O6 structure.

a = 4.3088 Å, b = 8.5857 Å, c = 8.5857 Å
α = 120.00°, β = 90.00°, γ = 90.00°
Element x y z (fractional)
O  0.2293  0.7847  0.8879
O  0.7442  0.5463  0.4269
O  0.2558  0.1194  0.5731
O  0.2558  0.4269  0.5463
O  0.7273  0.5481  0.7638
O  0.7707  0.8879  0.7847
O  0.7707  0.2153  0.1031
O  0.7273  0.2157  0.4519
O  0.7442  0.5731  0.1194
O  0.7273  0.2362  0.7843
O  0.2293  0.1121  0.8969
O  0.2293  0.1031  0.2153
O  0.2727  0.4519  0.2157
O  0.7442  0.8806  0.4537
O  0.7707  0.8969  0.1121
O  0.2727  0.7638  0.5481
O  0.2558  0.4537  0.8806
O  0.2727  0.7843  0.2362
Ir  0.5000  0.0000  0.6802
Ir  0.0000  0.3457  0.0000
Ir  0.5000  0.3198  0.3198
Ir  0.0000  0.6543  0.6543
Ir  0.0000  0.0000  0.3457
Ir  0.5000  0.6802  0.0000
Al  0.4928  0.3333  0.6667
Al  0.0000  0.0000  0.0000
Al  0.5072  0.6667  0.3333

Results
total DFT energy (no corrections) = -7.0144 eV per atom
formation energy without anion corrections = -1.324 eV per atom
crystal system = trigonal

## AlIrO2 (PBE)

Data for a geometry-optimized AlIrO2 structure.

a = 4.7057 Å, b = 4.7057 Å, c = 5.4284 Å
α = 64.31°, β = 64.31°, γ = 90.00°
Element x y z (fractional)
Ir  0.7500  0.2500  0.5000
Ir  0.0000  0.0000  0.0000
O  0.8750  0.7911  0.7500
O  0.2089  0.6250  0.2500
O  0.5411  0.1250  0.2500
O  0.3750  0.4589  0.7500
Al  0.2500  0.7500  0.5000
Al  0.5000  0.5000  0.0000

Results
total DFT energy (no corrections) = -6.6967 eV per atom
formation energy without anion corrections = -1.067 eV per atom
crystal system = tetragonal

How do the records compare in N(E_F)? In the order shown, they have 1.04; 0.65; 0.45 states/eV per atom.
How do the records compare in volume? In the order shown, they have 12.7; 10.2; 11.9 A^3/atom.
How do the records compare in theoretical density? In the order shown, they have 13.92; 9.19; 8.78 g/cm3.